Material: LiBiF6
Method: DFT, PBE-GGA
State: optimized geometry

## Properties
magnetization	0.00	μB per cell
space group	R-3 (148)
formation energy from raw total energies	-2.1724	eV/atom
polymorph energy (0 for the lowest one)	0.000	eV/atom

Structure (POSCAR):
```
LiBiF6
1.0
2.671 1.542 4.756
-2.671 1.542 4.756
0.000 -3.084 4.756
Li Bi F
1 1 6
Direct
0.000 0.000 0.000 Li
0.500 0.500 0.500 Bi
0.127 0.749 0.375 F
0.251 0.625 0.873 F
0.375 0.127 0.749 F
0.625 0.873 0.251 F
0.749 0.375 0.127 F
0.873 0.251 0.625 F
```

Material: LiBiF5
Method: DFT, PBE-GGA
State: optimized geometry

## Properties
magnetization	0.00	μB per cell
space group	I-4 (82)
formation energy from raw total energies	-2.3157	eV/atom
polymorph energy (0 for the lowest one)	0.000	eV/atom

Structure (POSCAR):
```
LiBiF5
1.0
7.128 0.000 0.000
0.000 7.128 0.000
0.000 0.000 4.425
Li Bi F
2 2 10
Direct
0.000 0.000 0.000 Li
0.500 0.500 0.500 Li
0.000 0.500 0.750 Bi
0.500 0.000 0.250 Bi
0.000 0.500 0.250 F
0.081 0.211 0.771 F
0.211 0.919 0.229 F
0.289 0.581 0.729 F
0.419 0.289 0.271 F
0.500 0.000 0.750 F
0.581 0.711 0.271 F
0.711 0.419 0.729 F
0.789 0.081 0.229 F
0.919 0.789 0.771 F
```

Material: LiBiF4
Method: DFT, PBE-GGA
State: optimized geometry

## Properties
magnetization	0.00	μB per cell
space group	I4_1/a (88)
formation energy from raw total energies	-2.6494	eV/atom
polymorph energy (0 for the lowest one)	0.000	eV/atom

Structure (POSCAR):
```
LiBiF4
1.0
-2.678 2.678 5.649
2.678 -2.678 5.649
2.678 2.678 -5.649
Li Bi F
2 2 8
Direct
0.375 0.125 0.250 Li
0.625 0.875 0.750 Li
0.125 0.375 0.750 Bi
0.875 0.625 0.250 Bi
0.133 0.321 0.365 F
0.179 0.044 0.812 F
0.268 0.633 0.312 F
0.456 0.768 0.135 F
0.544 0.232 0.865 F
0.732 0.367 0.688 F
0.821 0.956 0.188 F
0.867 0.679 0.635 F
```

Material: Li3BiF
Method: DFT, PBE-GGA
State: optimized geometry

## Properties
magnetization	0.00	μB per cell
space group	C2/m (12)
formation energy from raw total energies	-1.3508	eV/atom
polymorph energy (0 for the lowest one)	0.000	eV/atom

Structure (POSCAR):
```
Li3BiF
1.0
6.261 -2.386 0.000
6.261 2.386 0.000
-2.036 0.000 6.100
Li Bi F
6 2 2
Direct
0.097 0.097 0.175 Li
0.156 0.156 0.744 Li
0.338 0.338 0.549 Li
0.662 0.662 0.451 Li
0.844 0.844 0.256 Li
0.903 0.903 0.825 Li
0.388 0.388 0.067 Bi
0.612 0.612 0.933 Bi
0.177 0.177 0.470 F
0.823 0.823 0.530 F
```